(1)
Entry from the Alexandria database: ZnCu2Ir at its PBEsol-relaxed geometry (SCAN).

abc: 2.665 3.573 5.276
angles: 90.00 90.00 90.00
Positions (direct):
Cu 0.500 0.500 0.241
Cu 0.000 0.000 0.005
Zn 0.500 0.500 0.755
Ir 0.000 0.000 0.498

Summary:
* E_tot: -115.06 eV per cell
* Fermi-level density of states: 0.5792 states/eV/atom

(2)
Entry from the Alexandria database: ZnCu2Ir at its PBEsol-relaxed geometry (SCAN).

abc: 2.964 2.964 5.630
angles: 90.00 90.00 90.00
Positions (direct):
Zn 0.500 0.500 0.762
Cu 0.500 0.500 0.234
Cu 0.000 0.000 0.006
Ir 0.000 0.000 0.497

Summary:
* E_tot: -115.08 eV per cell
* Fermi-level density of states: 0.4390 states/eV/atom

(3)
Entry from the Alexandria database: ZnCu2Ir at its PBEsol-relaxed geometry (SCAN).

abc: 2.640 2.640 8.534
angles: 81.10 81.10 60.00
Positions (direct):
Zn 0.000 0.000 0.000
Cu 0.748 0.748 0.756
Cu 0.252 0.252 0.244
Ir 0.500 0.500 0.500

Summary:
* E_tot: -115.03 eV per cell
* Fermi-level density of states: 0.6402 states/eV/atom

(4)
Entry from the Alexandria database: ZnCu2Ir at its PBEsol-relaxed geometry (SCAN).

abc: 2.755 4.370 4.370
angles: 107.10 90.00 90.00
Positions (direct):
Cu 0.000 0.000 0.500
Cu 0.000 0.500 0.000
Zn 0.500 0.500 0.500
Ir 0.500 0.000 0.000

Summary:
* E_tot: -115.21 eV per cell
* Fermi-level density of states: 0.3985 states/eV/atom

Copy entry 2 word for word.
Entry from the Alexandria database: ZnCu2Ir at its PBEsol-relaxed geometry (SCAN).

abc: 2.964 2.964 5.630
angles: 90.00 90.00 90.00
Positions (direct):
Zn 0.500 0.500 0.762
Cu 0.500 0.500 0.234
Cu 0.000 0.000 0.006
Ir 0.000 0.000 0.497

Summary:
* E_tot: -115.08 eV per cell
* Fermi-level density of states: 0.4390 states/eV/atom

> Which of these has the highest E_tot?

number 3

> What is the formula in the third record?

ZnCu2Ir

> E_tot of number 4 (ZnCu2Ir)?

-115.21 eV per cell